1.
Density functional theory data (GGA-PBE) for crystalline Hf6Pd3C at its relaxed geometry.

a b c (Å): 5.8146 7.3777 10.0854
angles (deg): 90.00 119.25 90.00
Last column: nearest neighbours and their distance in Å.
Space group P2_1/c (No. 14)
Asymmetric unit:
Hf 0.0686 0.0602 0.2363 x4  1 C 2.26
Hf 0.2119 0.7327 0.0727 x4  1 C 2.25
Hf 0.3713 0.1466 0.0433 x4  1 C 2.26
Pd 0.3196 0.0978 0.7193 x4  6 Hf 2.71-2.96, 1 Pd 2.96
Pd 0.5000 0.0000 0.5000 x2  6 Hf 2.65-2.81, 2 Pd 2.96
C 0.0000 0.0000 0.0000 x2  6 Hf 2.25-2.26

Properties
Energy of formation from the pure elements, eV/atom: -0.489
DOS(E_F), states/eV per atom: 0.681
Size of the total moment, μB per formula unit: 0.000
Mass density, g cm⁻³: 12.3

2.
Density functional theory data (GGA-PBE) for crystalline Tl12In6Pb at its relaxed geometry.

a b c (Å): 11.8122 11.8122 14.5870
angles (deg): 90.00 90.00 120.00
Last column: nearest neighbours and their distance in Å.
Space group R-3 (No. 148, hexagonal axes)
Asymmetric unit:
Tl 0.0449 0.1868 0.3060 x18  5 Tl 3.31-3.67, 5 In 3.44-3.68, 1 Pb 3.46
Tl 0.0674 0.8365 0.9175 x18  4 In 3.36-3.42, 5 Tl 3.42-3.67
In 0.0277 0.4434 0.2049 x18  1 Pb 3.28, 9 Tl 3.36-3.68, 2 In 3.42
Pb 0.0000 0.0000 0.5000 x3  6 In 3.28, 6 Tl 3.46

Properties
Energy above the lowest structure with this stoichiometry, meV/atom: 0
Energy of formation from the pure elements, eV/atom: 0.039
DOS(E_F), states/eV per atom: 0.534
Size of the total moment, μB per formula unit: 0.000
Mass density, g cm⁻³: 9.5

3.
Density functional theory data (GGA-PBE) for crystalline TcHgTe at its relaxed geometry.

a b c (Å): 3.3899 3.3899 6.9616
angles (deg): 90.00 90.00 120.00
Last column: nearest neighbours and their distance in Å.
Space group P3m1 (No. 156)
Asymmetric unit:
Tc 0.0000 0.0000 0.0000 x1  3 Te 2.60
Hg 0.3333 0.6667 0.6902 x1  3 Tc 2.91
Te 0.6667 0.3333 0.2450 x1  3 Tc 2.60

Properties
Energy above the lowest structure with this stoichiometry, meV/atom: 0
DOS(E_F), states/eV per atom: 0.621
Size of the total moment, μB per formula unit: 0.000
E_form (uncorrected), eV per atom: 0.229
Mass density, g cm⁻³: 10.2

4.
Density functional theory data (GGA-PBE) for crystalline Ba2In2Br at its relaxed geometry.

a b c (Å): 4.9400 4.9400 27.0054
angles (deg): 90.00 90.00 120.00
Last column: nearest neighbours and their distance in Å.
Space group R-3m (No. 166, hexagonal axes)
Asymmetric unit:
Ba 0.0000 0.0000 0.0884 x6  6 In 3.55-3.91, 3 Br 3.55
In 0.0000 0.0000 0.3229 x6  3 In 2.91
Br 0.0000 0.0000 0.5000 x3  6 Ba 3.55

Properties
DOS(E_F), states/eV per atom: 0.572
Size of the total moment, μB per formula unit: 0.000
E_form (uncorrected), eV per atom: -0.972
Mass density, g cm⁻³: 5.1

5.
Density functional theory data (GGA-PBE) for crystalline KBi3Rh at its relaxed geometry.

a b c (Å): 5.4700 5.4700 5.4700
angles (deg): 90.00 90.00 90.00
Last column: nearest neighbours and their distance in Å.
Space group Pm-3m (No. 221)
Asymmetric unit:
K 0.0000 0.0000 0.0000 x1  12 Bi 3.87
Bi 0.0000 0.5000 0.5000 x3  2 Rh 2.74
Rh 0.5000 0.5000 0.5000 x1  6 Bi 2.74

Properties
Energy above the lowest structure with this stoichiometry, meV/atom: 302
Energy of formation from the pure elements, eV/atom: 0.041
DOS(E_F), states/eV per atom: 0.672
Size of the total moment, μB per formula unit: 0.000
Mass density, g cm⁻³: 7.8

6.
Density functional theory data (GGA-PBE) for crystalline YFeW4 at its relaxed geometry.

a b c (Å): 7.6240 7.6240 7.6240
angles (deg): 90.00 90.00 90.00
Last column: nearest neighbours and their distance in Å.
Space group F-43m (No. 216)
Asymmetric unit:
Y 0.0000 0.0000 0.0000 x4  12 W 3.16, 4 Fe 3.30
Fe 0.2500 0.2500 0.7500 x4  12 W 3.16, 4 Y 3.30
W 0.1250 0.1250 0.3750 x16  6 W 2.69-2.70

Properties
Energy of formation from the pure elements, eV/atom: 0.463
DOS(E_F), states/eV per atom: 0.808
Size of the total moment, μB per formula unit: 2.730
Mass density, g cm⁻³: 13.2

7.
Density functional theory data (GGA-PBE) for crystalline LiPd8Au2 at its relaxed geometry.

a b c (Å): 9.9503 8.6562 4.7626
angles (deg): 90.00 109.17 90.00
Last column: nearest neighbours and their distance in Å.
Space group C2/m (No. 12)
Asymmetric unit:
Li 0.0000 0.0000 0.0000 x2  2 Au 2.35, 6 Pd 2.49-2.60
Pd 0.0721 0.5000 0.3006 x4  7 Pd 2.69-2.81, 1 Au 2.69
Pd 0.0820 0.2385 0.8123 x8  1 Li 2.49, 3 Pd 2.64-2.79, 1 Au 2.71
Pd 0.2273 0.5000 0.9045 x4  1 Li 2.60, 7 Pd 2.64-2.83, 2 Au 2.67-2.69
Au 0.1417 0.0000 0.5026 x4  1 Li 2.35

Properties
Energy above the lowest structure with this stoichiometry, meV/atom: 327
Energy of formation from the pure elements, eV/atom: 0.213
DOS(E_F), states/eV per atom: 1.859
Size of the total moment, μB per formula unit: 0.001
Mass density, g cm⁻³: 10.7

8.
Density functional theory data (GGA-PBE) for crystalline Tb3Cd2Pd at its relaxed geometry.

a b c (Å): 3.6635 3.6635 11.1029
angles (deg): 90.00 90.00 90.00
Last column: nearest neighbours and their distance in Å.
Space group P4/mmm (No. 123)
Asymmetric unit:
Tb 0.0000 0.0000 0.0000 x1  8 Cd 3.21
Tb 0.0000 0.0000 0.3499 x2  4 Pd 3.08, 4 Cd 3.27, 1 Tb 3.33
Cd 0.5000 0.5000 0.1709 x2  8 Tb 3.21-3.27
Pd 0.5000 0.5000 0.5000 x1  8 Tb 3.08

Properties
Energy of formation from the pure elements, eV/atom: -0.505
DOS(E_F), states/eV per atom: 0.736
Size of the total moment, μB per formula unit: 0.028
Mass density, g cm⁻³: 9.0